# 1
# YCu2HPd (meta-GGA SCAN, PBEsol geometry)
data_YCu2HPd
_symmetry_space_group_name_H-M 'P 4/m m m'
_symmetry_Int_Tables_number 123
_symmetry_space_group_name_Hall '-P 4 2'
_cell_length_a 4.867
_cell_length_b 4.867
_cell_length_c 3.548
_cell_angle_alpha 90.00
_cell_angle_beta 90.00
_cell_angle_gamma 90.00
loop_
_atom_site_label
_atom_site_type_symbol
_atom_site_fract_x
_atom_site_fract_y
_atom_site_fract_z
Y1 Y 0.000 0.000 0.000
Cu1 Cu 0.000 0.500 0.000
H1 H 0.000 0.000 0.500
Pd1 Pd 0.500 0.500 0.500
# total energy = -18.1098 eV per atom
# total moment = 0.0 μB per cell

# 2
# CaZrSi (meta-GGA SCAN, PBEsol geometry)
data_CaZrSi
_symmetry_space_group_name_H-M 'P 3 m 1'
_symmetry_Int_Tables_number 156
_cell_length_a 4.4679
_cell_length_b 4.4679
_cell_length_c 4.0713
_cell_angle_alpha 90.00
_cell_angle_beta 90.00
_cell_angle_gamma 120.00
loop_
_symmetry_equiv_pos_as_xyz
'x,y,z'
'-y,x-y,z'
'-x+y,-x,z'
'-y,-x,z'
'-x+y,y,z'
'x,x-y,z'
loop_
_atom_site_label
_atom_site_type_symbol
_atom_site_fract_x
_atom_site_fract_y
_atom_site_fract_z
Ca1 Ca 0.0000 0.0000 0.0000
Zr1 Zr 0.3333 0.6667 0.5269
Si1 Si 0.6667 0.3333 0.3762
# total energy = -16.8372 eV per atom
# formation energy from raw total energies = -0.1 eV/f.u.
# total moment = 0.0 μB per cell

# 3
# K2ZnPt (meta-GGA SCAN, PBEsol geometry)
data_K2ZnPt
_symmetry_space_group_name_H-M 'F -4 3 m'
_symmetry_Int_Tables_number 216
_symmetry_space_group_name_Hall 'F -4 2 3'
_cell_length_a 7.185
_cell_length_b 7.185
_cell_length_c 7.185
_cell_angle_alpha 90.00
_cell_angle_beta 90.00
_cell_angle_gamma 90.00
loop_
_atom_site_label
_atom_site_type_symbol
_atom_site_fract_x
_atom_site_fract_y
_atom_site_fract_z
K1 K 0.000 0.000 0.000
K2 K 0.250 0.250 0.250
Zn1 Zn 0.000 0.000 0.500
Pt1 Pt 0.250 0.250 0.750
# total energy = -25.0140 eV per atom
# total moment = 0.0 μB per cell
# energy of formation from the pure elements = 0.08 eV/atom

# 4
# Hf2TiNi3 (meta-GGA SCAN, PBEsol geometry)
data_Hf2TiNi3
_symmetry_space_group_name_H-M 'F d d d'
_symmetry_Int_Tables_number 70
_cell_length_a 8.710
_cell_length_b 12.480
_cell_length_c 25.815
_cell_angle_alpha 90.00
_cell_angle_beta 90.00
_cell_angle_gamma 90.00
loop_
_symmetry_equiv_pos_as_xyz
'x,y,z'
'-x,-y,-z'
'-x+1/4,-y+1/4,z'
'x+1/4,y+1/4,-z'
'x,-y+1/4,-z+1/4'
'-x,y+1/4,z+1/4'
'-x+1/4,y,-z+1/4'
'x+1/4,-y,z+1/4'
'x,y+1/2,z+1/2'
'-x,-y+1/2,-z+1/2'
'-x+1/4,-y+3/4,z+1/2'
'x+1/4,y+3/4,-z+1/2'
'x,-y+3/4,-z+3/4'
'-x,y+3/4,z+3/4'
'-x+1/4,y+1/2,-z+3/4'
'x+1/4,-y+1/2,z+3/4'
'x+1/2,y,z+1/2'
'-x+1/2,-y,-z+1/2'
'-x+3/4,-y+1/4,z+1/2'
'x+3/4,y+1/4,-z+1/2'
'x+1/2,-y+1/4,-z+3/4'
'-x+1/2,y+1/4,z+3/4'
'-x+3/4,y,-z+3/4'
'x+3/4,-y,z+3/4'
'x+1/2,y+1/2,z'
'-x+1/2,-y+1/2,-z'
'-x+3/4,-y+3/4,z'
'x+3/4,y+3/4,-z'
'x+1/2,-y+3/4,-z+1/4'
'-x+1/2,y+3/4,z+1/4'
'-x+3/4,y+1/2,-z+1/4'
'x+3/4,-y+1/2,z+1/4'
loop_
_atom_site_label
_atom_site_type_symbol
_atom_site_fract_x
_atom_site_fract_y
_atom_site_fract_z
Hf1 Hf 0.109 0.375 0.301
Hf2 Hf 0.125 0.125 0.466
Hf3 Hf 0.125 0.343 0.125
Ti1 Ti 0.125 0.125 0.125
Ti2 Ti 0.125 0.125 0.293
Ti3 Ti 0.125 0.125 0.625
Ni1 Ni 0.085 0.018 0.377
Ni2 Ni 0.115 0.261 0.546
Ni3 Ni 0.124 0.257 0.029
# total energy = -32.1273 eV per atom
# total moment = 20.3 μB per cell
# energy of formation from the pure elements = -0.48 eV/atom

# 5
# MnBeIr2 (meta-GGA SCAN, PBEsol geometry)
data_MnBeIr2
_symmetry_space_group_name_H-M 'F -4 3 m'
_symmetry_Int_Tables_number 216
_symmetry_space_group_name_Hall 'F -4 2 3'
_cell_length_a 5.896
_cell_length_b 5.896
_cell_length_c 5.896
_cell_angle_alpha 90.00
_cell_angle_beta 90.00
_cell_angle_gamma 90.00
loop_
_atom_site_label
_atom_site_type_symbol
_atom_site_fract_x
_atom_site_fract_y
_atom_site_fract_z
Mn1 Mn 0.000 0.000 0.000
Be1 Be 0.250 0.250 0.250
Ir1 Ir 0.000 0.000 0.500
Ir2 Ir 0.250 0.250 0.750
# total energy = -41.3111 eV per atom
# total moment = 15.9 μB per cell
# energy of formation from the pure elements = -0.11 eV/atom

# 6
# BeZnSn2Se (meta-GGA SCAN, PBEsol geometry)
data_BeZnSn2Se
_symmetry_space_group_name_H-M 'P 4/m m m'
_symmetry_Int_Tables_number 123
_symmetry_space_group_name_Hall '-P 4 2'
_cell_length_a 4.983
_cell_length_b 4.983
_cell_length_c 4.441
_cell_angle_alpha 90.00
_cell_angle_beta 90.00
_cell_angle_gamma 90.00
loop_
_atom_site_label
_atom_site_type_symbol
_atom_site_fract_x
_atom_site_fract_y
_atom_site_fract_z
Be1 Be 0.000 0.000 0.000
Zn1 Zn 0.500 0.500 0.500
Sn1 Sn 0.000 0.500 0.000
Se1 Se 0.000 0.000 0.500
# total energy = -21.5150 eV per atom
# formation energy from raw total energies = 2.2 eV/f.u.
# total moment = 0.0 μB per cell

# 7
# NaCaPO4 (meta-GGA SCAN, PBEsol geometry)
data_NaCaPO4
_symmetry_space_group_name_H-M 'P n a 21'
_symmetry_Int_Tables_number 33
_cell_length_a 20.316
_cell_length_b 9.100
_cell_length_c 5.404
_cell_angle_alpha 90.00
_cell_angle_beta 90.00
_cell_angle_gamma 90.00
loop_
_symmetry_equiv_pos_as_xyz
'x,y,z'
'-x,-y,z+1/2'
'-x+1/2,y+1/2,z+1/2'
'x+1/2,-y+1/2,z'
loop_
_atom_site_label
_atom_site_type_symbol
_atom_site_fract_x
_atom_site_fract_y
_atom_site_fract_z
Na1 Na 0.056 0.065 0.000
Na2 Na 0.109 0.575 0.470
Na3 Na 0.222 0.426 0.951
Ca1 Ca 0.002 0.701 0.002
Ca2 Ca 0.165 0.202 0.441
Ca3 Ca 0.168 0.795 0.965
P1 P 0.075 0.412 0.961
P2 P 0.093 0.913 0.495
P3 P 0.242 0.082 0.961
O1 O 0.002 0.442 0.901
O2 O 0.054 0.060 0.505
O3 O 0.072 0.813 0.714
O4 O 0.078 0.834 0.248
O5 O 0.082 0.307 0.185
O6 O 0.105 0.341 0.725
O7 O 0.110 0.560 0.017
O8 O 0.167 0.945 0.519
O9 O 0.168 0.058 0.018
O10 O 0.225 0.433 0.401
O11 O 0.227 0.647 0.700
O12 O 0.248 0.691 0.243
# total energy = -9.9534 eV per atom
# formation energy from raw total energies = -20.5 eV/f.u.
# total moment = 0.0 μB per cell

# 8
# Cu2W (meta-GGA SCAN, PBEsol geometry)
data_Cu2W
_symmetry_space_group_name_H-M 'P -3 m 1'
_symmetry_Int_Tables_number 164
_symmetry_space_group_name_Hall '-P 3 2"'
_cell_length_a 4.1449
_cell_length_b 4.1449
_cell_length_c 2.5664
_cell_angle_alpha 90.00
_cell_angle_beta 90.00
_cell_angle_gamma 120.00
loop_
_atom_site_label
_atom_site_type_symbol
_atom_site_fract_x
_atom_site_fract_y
_atom_site_fract_z
Cu1 Cu 0.3333 0.6667 0.4877
W1 W 0.0000 0.0000 0.0000
# total energy = -32.9640 eV per atom
# total moment = 0.0 μB per cell
# energy of formation from the pure elements = 0.40 eV/atom

The highest total energy belongs to which entry? NaCaPO4

total energy of number 1 (YCu2HPd)? -18.1098 eV per atom

What is the total moment in the fifth record? 15.9 μB per cell